#one
Computed, not measured: crystalline CrRe2Br at its relaxed geometry at the PBE-GGA level of DFT.

Cell lengths 5.3138, 5.3138, 5.3138 Å; angles 148.10, 130.41, 60.18 degrees
Each line ends with the local moment (μB).
Sites, in units of the cell vectors:
Br (0.7500, 0.2500, 0.5000)  0.00
Cr (0.2500, 0.7500, 0.5000)  0.10
Re (0.9862, 0.9862, 0.0000)  -0.02
Re (0.5138, 0.5138, 0.0000)  -0.02

Calculated values
- space group = Immm
- total moment (μB per atom) = 0.01

#two
Computed, not measured: crystalline CrRe2Br at its relaxed geometry at the PBE-GGA level of DFT.

Cell lengths 3.0647, 3.0540, 7.2163 Å; angles 90.00, 89.96, 90.00 degrees
Sites, in units of the cell vectors:
Br (0.5000, 0.2500, 0.2500)
Cr (0.5000, 0.7500, 0.7500)
Re (0.0004, 0.2500, 0.5657)
Re (0.9996, 0.2500, 0.9343)

Calculated values
- space group = Pmmm
- total moment (μB per atom) = 0.00

Preferred: #two; penalty for the next structure: 304 meV/atom.

#one
Computed, not measured: crystalline CrRhBr at its relaxed geometry at the PBE-GGA level of DFT.

Cell lengths 4.2366, 4.2366, 3.3048 Å; angles 90.00, 90.00, 120.00 degrees
Each line ends with the local moment (μB).
Sites, in units of the cell vectors:
Br (0.0000, 0.0000, 0.9646)  0.03
Cr (0.6667, 0.3333, 0.3345)  3.51
Rh (0.3333, 0.6667, 0.7009)  -0.09

Calculated values
- space group = P3m1
- total moment (μB per atom) = 1.28

#two
Computed, not measured: crystalline CrRhBr at its relaxed geometry at the PBE-GGA level of DFT.

Cell lengths 3.1968, 3.1968, 6.0756 Å; angles 90.00, 90.00, 120.00 degrees
Each line ends with the local moment (μB).
Sites, in units of the cell vectors:
Br (0.0000, 0.0000, 0.0405)  -0.02
Cr (0.3333, 0.6667, 0.3394)  2.80
Rh (0.6667, 0.3333, 0.6201)  0.13

Calculated values
- space group = P3m1
- total moment (μB per atom) = 1.04

Preferred: #two; penalty for the next structure: 267 meV/atom.

#one
Computed, not measured: crystalline CrRhBr at its relaxed geometry at the PBE-GGA level of DFT.

Cell lengths 4.3539, 4.3539, 4.3539 Å; angles 60.00, 60.00, 60.00 degrees
Each line ends with the local moment (μB).
Sites, in units of the cell vectors:
Br (0.0000, 0.0000, 0.0000)  0.02
Cr (0.5000, 0.5000, 0.5000)  3.55
Rh (0.2500, 0.2500, 0.2500)  -0.31

Calculated values
- space group = F-43m
- total moment (μB per atom) = 1.22

#two
Computed, not measured: crystalline CrRhBr at its relaxed geometry at the PBE-GGA level of DFT.

Cell lengths 5.9093, 5.9093, 5.9093 Å; angles 149.98, 149.98, 42.98 degrees
Each line ends with the local moment (μB).
Sites, in units of the cell vectors:
Br (0.9861, 0.9861, 0.0000)  -0.04
Cr (0.3215, 0.3215, 0.0000)  2.72
Rh (0.6923, 0.6923, 0.0000)  -0.21

Calculated values
- space group = I4mm
- total moment (μB per atom) = 0.89

Preferred: #two; penalty for the next structure: 204 meV/atom.

#one
Computed, not measured: crystalline CrRh3Br at its relaxed geometry at the PBE-GGA level of DFT.

Cell lengths 4.5354, 4.5354, 4.5354 Å; angles 90.00, 90.00, 90.00 degrees
Sites, in units of the cell vectors:
Cr (0.0000, 0.0000, 0.0000)
Rh (0.0000, 0.5000, 0.0000)
Rh (0.0000, 0.0000, 0.5000)
Rh (0.5000, 0.0000, 0.0000)
Br (0.5000, 0.5000, 0.5000)

Calculated values
- space group = Pm-3m
- total moment (μB per atom) = 0.00

#two
Computed, not measured: crystalline CrRh3Br at its relaxed geometry at the PBE-GGA level of DFT.

Cell lengths 4.5830, 4.5830, 4.5830 Å; angles 90.00, 90.00, 90.00 degrees
Each line ends with the local moment (μB).
Sites, in units of the cell vectors:
Cr (0.5000, 0.5000, 0.5000)  3.86
Rh (0.0000, 0.5000, 0.0000)  -0.05
Rh (0.0000, 0.0000, 0.5000)  -0.06
Rh (0.5000, 0.0000, 0.0000)  -0.13
Br (0.0000, 0.0000, 0.0000)  0.01

Calculated values
- space group = Pm-3m
- total moment (μB per atom) = 0.83

Preferred: #one; penalty for the next structure: 58 meV/atom.

#one
Computed, not measured: crystalline CrRuBr2 at its relaxed geometry at the PBE-GGA level of DFT.

Cell lengths 3.4282, 4.1770, 7.1289 Å; angles 75.32, 90.00, 90.00 degrees
Sites, in units of the cell vectors:
Br (0.0000, 0.9867, 0.8863)
Br (0.5000, 0.2890, 0.3661)
Cr (0.0000, 0.4525, 0.6089)
Ru (0.5000, 0.7718, 0.6387)

Calculated values
- space group = Pm
- total moment (μB per atom) = 0.00

#two
Computed, not measured: crystalline CrRuBr2 at its relaxed geometry at the PBE-GGA level of DFT.

Cell lengths 3.1610, 3.1610, 8.5506 Å; angles 90.00, 90.00, 90.00 degrees
Each line ends with the local moment (μB).
Sites, in units of the cell vectors:
Br (0.0000, 0.0000, 0.9138)  -0.07
Br (0.5000, 0.5000, 0.3427)  0.01
Cr (0.0000, 0.0000, 0.5357)  3.08
Ru (0.5000, 0.5000, 0.7077)  -1.34

Calculated values
- space group = P4mm
- total moment (μB per atom) = 0.47

Preferred: #one; penalty for the next structure: 71 meV/atom.

#one
Computed, not measured: crystalline CrRuBr2 at its relaxed geometry at the PBE-GGA level of DFT.

Cell lengths 4.8152, 4.8152, 4.8152 Å; angles 60.00, 60.00, 60.00 degrees
Each line ends with the local moment (μB).
Sites, in units of the cell vectors:
Br (0.0000, 0.0000, 0.0000)  -0.02
Br (0.2500, 0.2500, 0.2500)  -0.13
Cr (0.5000, 0.5000, 0.5000)  3.67
Ru (0.7500, 0.7500, 0.7500)  -1.92

Calculated values
- space group = F-43m
- total moment (μB per atom) = 0.48

#two
Computed, not measured: crystalline CrRuBr2 at its relaxed geometry at the PBE-GGA level of DFT.

Cell lengths 8.9342, 8.9342, 8.9342 Å; angles 158.64, 159.69, 29.64 degrees
Each line ends with the local moment (μB).
Sites, in units of the cell vectors:
Br (0.0104, 0.0104, 0.0000)  0.00
Br (0.7362, 0.2362, 0.5000)  -0.02
Cr (0.4191, 0.4191, 0.0000)  0.38
Ru (0.3344, 0.8344, 0.5000)  -0.18

Calculated values
- space group = Imm2
- total moment (μB per atom) = 0.05

#three
Computed, not measured: crystalline CrRuBr2 at its relaxed geometry at the PBE-GGA level of DFT.

Cell lengths 7.7454, 7.7454, 7.7454 Å; angles 27.10, 27.10, 27.10 degrees
Each line ends with the local moment (μB).
Sites, in units of the cell vectors:
Br (0.9993, 0.9993, 0.9993)  0.07
Br (0.5007, 0.5007, 0.5007)  0.07
Cr (0.2500, 0.2500, 0.2500)  4.12
Ru (0.7500, 0.7500, 0.7500)  2.16

Calculated values
- space group = R-3m
- total moment (μB per atom) = 1.79

#four
Computed, not measured: crystalline CrRuBr2 at its relaxed geometry at the PBE-GGA level of DFT.

Cell lengths 8.5564, 8.5564, 8.5564 Å; angles 21.87, 21.87, 21.87 degrees
Each line ends with the local moment (μB).
Sites, in units of the cell vectors:
Ru (0.5000, 0.5000, 0.5000)  1.14
Br (0.9081, 0.9081, 0.9081)  0.06
Br (0.0919, 0.0919, 0.0919)  0.06
Cr (0.0000, 0.0000, 0.0000)  0.24

Calculated values
- space group = R-3m
- total moment (μB per atom) = 0.39

Preferred: #two; penalty for the next structure: 340 meV/atom.